A plane-wave DFT calculation with PBE was carried out for SnSbIr3 after structural relaxation.

Properties
Size of the total moment = 0.00 μB per cell
Relative energy among the computed polymorphs = 0.0 kJ/mol of atoms
DFT total energy = -27.8 eV for the cell shown
Energy relative to the elements, uncorrected = 1374 meV per atom

a = 4.899 Å, b = 4.899 Å, c = 4.899 Å
α = 90.00°, β = 90.00°, γ = 90.00°
Space group Pm-3m (No. 221)
Symmetry-distinct sites (fractional):
Sn 0.000 0.000 0.000 x1
Sb 0.500 0.500 0.500 x1
Ir 0.000 0.500 0.500 x3

***

A plane-wave DFT calculation with PBE was carried out for LiW2 after structural relaxation.

Properties
Size of the total moment = 0.00 μB per cell
Relative energy among the computed polymorphs = 8.9 kJ/mol of atoms
DFT total energy = -105.8 eV for the cell shown
Formation enthalpy at 0 K = 0.456 eV/atom

a = 2.595 Å, b = 16.116 Å, c = 4.745 Å
α = 90.00°, β = 90.00°, γ = 90.00°
Space group Cmcm (No. 63)
Symmetry-distinct sites (fractional):
Li 0.000 0.217 0.250 x4
W 0.000 0.108 0.750 x4
W 0.000 0.449 0.750 x4

***

A plane-wave DFT calculation with PBE was carried out for Rb2SnIO6 after structural relaxation.

Properties
Size of the total moment = 0.00 μB per cell
DFT total energy = -189.7 eV for the cell shown
Energy relative to the elements, uncorrected = -1019 meV per atom

a = 8.305 Å, b = 8.305 Å, c = 8.305 Å
α = 90.00°, β = 90.00°, γ = 90.00°
Space group Fm-3m (No. 225)
Symmetry-distinct sites (fractional):
Rb 0.250 0.250 0.250 x8
Sn 0.000 0.000 0.000 x4
I 0.000 0.000 0.500 x4
O 0.000 0.000 0.259 x24

***

- The lowest DFT total energy belongs to which entry?
  Rb2SnIO6

***

Repeat the first record exactly.
A plane-wave DFT calculation with PBE was carried out for SnSbIr3 after structural relaxation.

Properties
Size of the total moment = 0.00 μB per cell
Relative energy among the computed polymorphs = 0.0 kJ/mol of atoms
DFT total energy = -27.8 eV for the cell shown
Energy relative to the elements, uncorrected = 1374 meV per atom

a = 4.899 Å, b = 4.899 Å, c = 4.899 Å
α = 90.00°, β = 90.00°, γ = 90.00°
Space group Pm-3m (No. 221)
Symmetry-distinct sites (fractional):
Sn 0.000 0.000 0.000 x1
Sb 0.500 0.500 0.500 x1
Ir 0.000 0.500 0.500 x3